A plane-wave DFT calculation with PBE-GGA was carried out for crystalline CsCu2Ag2 at its relaxed geometry.

The value obtained for the calculated formation energy is 0.361 eV/atom. The calculation puts the polymorph energy (0 for the lowest one) at 0.010 eV per atom.

It has space group I4/mmm (No. 139), with a = 4.4807 Å, b = 4.4807 Å, c = 11.5304 Å, α = 90.00°, β = 90.00° and γ = 90.00°. The distinct sites, in fractional coordinates, are Cs at (0.0000, 0.0000, 0.0000), Cu at (0.0000, 0.0000, 0.3880) and Ag at (0.0000, 0.5000, 0.2500).